Record 1
Crystalline BeSb2Au at its relaxed geometry, computed with PBE-GGA.

```
data_BeSb2Au
_cell_length_a 4.667
_cell_length_b 4.667
_cell_length_c 3.850
_cell_angle_alpha 90.00
_cell_angle_beta 90.00
_cell_angle_gamma 90.00
_space_group_name_H-M_alt 'P 4/m m m'
_space_group_IT_number 123
_space_group_name_Hall '-P 4 2'
loop_
_atom_site_label
_atom_site_fract_x
_atom_site_fract_y
_atom_site_fract_z
_atom_site_occupancy
Be1 0.000 0.000 0.000 1
Sb1 0.000 0.500 0.500 1
Au1 0.500 0.500 0.000 1
```

Calculated values
calculated total energy: -3.332 eV per atom



Record 2
Crystalline InCuOs3 at its relaxed geometry, computed with PBE-GGA.

```
data_InCuOs3
_cell_length_a 4.495
_cell_length_b 4.495
_cell_length_c 4.495
_cell_angle_alpha 90.00
_cell_angle_beta 90.00
_cell_angle_gamma 90.00
_space_group_name_H-M_alt 'P m -3 m'
_space_group_IT_number 221
_space_group_name_Hall '-P 4 2 3'
loop_
_atom_site_label
_atom_site_fract_x
_atom_site_fract_y
_atom_site_fract_z
_atom_site_occupancy
In1 0.000 0.000 0.000 1
Cu1 0.500 0.500 0.500 1
Os1 0.000 0.500 0.500 1
```

Calculated values
ΔE_f: 1.8933 eV/atom
E above lowest polymorph: 0.0 kJ/mol of formula units



Record 3
Crystalline LiPrZn11 at its relaxed geometry, computed with PBE-GGA.

```
data_LiPrZn11
_cell_length_a 5.244
_cell_length_b 12.637
_cell_length_c 6.861
_cell_angle_alpha 90.00
_cell_angle_beta 112.35
_cell_angle_gamma 90.00
_space_group_name_H-M_alt 'C 1 2/m 1'
_space_group_IT_number 12
_space_group_name_Hall '-C 2y'
loop_
_atom_site_label
_atom_site_fract_x
_atom_site_fract_y
_atom_site_fract_z
_atom_site_occupancy
Li1 0.000 0.000 0.000 1
Pr1 0.000 0.500 0.500 1
Zn1 0.000 0.500 0.000 1
Zn2 0.111 0.110 0.725 1
Zn3 0.188 0.323 0.856 1
Zn4 0.250 0.250 0.500 1
```

Calculated values
ΔE_f: -0.2015 eV/atom



In states/eV per atom, the DOS(E_F) values for the records above are, in order, 0.55; 1.16; 0.36.